# LiTcNi, optimized geometry, DFT PBE
# DFT formation energy in eV/atom: 0.107
# Total moment in Bohr magnetons per cell: 0.0
# Energy in eV/f.u.: -17.74
# Energy relative to the lowest polymorph listed for this composition in meV per atom: 44.3
data_LiTcNi
_cell_length_a 2.5951
_cell_length_b 4.6431
_cell_length_c 7.0972
_cell_angle_alpha 74.74
_cell_angle_beta 79.61
_cell_angle_gamma 74.16
_space_group_name_H-M_alt 'P -1'
_space_group_IT_number 2
loop_
_space_group_symop_operation_xyz
'x,y,z'
'-x,-y,-z'
loop_
_atom_site_label
_atom_site_type_symbol
_atom_site_fract_x
_atom_site_fract_y
_atom_site_fract_z
Li1 Li 0.1560 0.2595 0.4311
Tc1 Tc 0.1510 0.7696 0.9196
Ni1 Ni 0.4950 0.2530 0.7614